TaSiPd3: relaxed, PBE-GGA.

a = 4.455 Å, b = 4.455 Å, c = 4.455 Å
α = 90.00°, β = 90.00°, γ = 90.00°
Space group Pm-3m (No. 221)
Inequivalent atoms, fractional coordinates:
Ta 0.000 0.000 0.000 (multiplicity 1)
Si 0.500 0.500 0.500 (multiplicity 1)
Pd 0.000 0.500 0.500 (multiplicity 3)

- E_form (uncorrected) (eV per atom) = 0.357
- offset from the most stable computed form (eV per formula unit) = 0.00



TaSiPd2W: relaxed, PBE-GGA.

a = 4.835 Å, b = 4.835 Å, c = 4.800 Å
α = 90.00°, β = 90.00°, γ = 90.00°
Space group P4/mmm (No. 123)
Inequivalent atoms, fractional coordinates:
Ta 0.000 0.000 0.000 (multiplicity 1)
Si 0.500 0.500 0.000 (multiplicity 1)
Pd 0.000 0.500 0.500 (multiplicity 2)
W 0.000 0.000 0.500 (multiplicity 1)

- E_form (uncorrected) (eV per atom) = 1.511



TbSiPd3: relaxed, PBE-GGA.

a = 5.218 Å, b = 5.218 Å, c = 15.441 Å
α = 90.00°, β = 90.00°, γ = 90.00°
Space group I-4m2 (No. 119)
Inequivalent atoms, fractional coordinates:
Tb 0.000 0.000 0.153 (multiplicity 4)
Si 0.000 0.000 0.500 (multiplicity 2)
Si 0.000 0.500 0.750 (multiplicity 2)
Pd 0.000 0.246 0.627 (multiplicity 8)
Pd 0.000 0.500 0.041 (multiplicity 4)

- E_form (uncorrected) (eV per atom) = -0.535
- offset from the most stable computed form (eV per formula unit) = 0.39



TbSi4Pd12: relaxed, PBE-GGA.

a = 8.370 Å, b = 8.370 Å, c = 8.370 Å
α = 90.00°, β = 90.00°, γ = 90.00°
Space group Im-3 (No. 204)
Inequivalent atoms, fractional coordinates:
Tb 0.000 0.000 0.000 (multiplicity 2)
Si 0.250 0.250 0.250 (multiplicity 8)
Pd 0.000 0.338 0.165 (multiplicity 24)

- E_form (uncorrected) (eV per atom) = -0.463



E_form (uncorrected) of number 3 (TbSiPd3)?
-0.535 eV per atom



Look up the E_form (uncorrected) of the first one.
0.357 eV per atom



Among the records above, which one has the highest E_form (uncorrected)?
TaSiPd2W



Which of these has the highest E_form (uncorrected)?
TaSiPd2W